# 1
Computed, not measured: an optimized crystal structure of CuIrSe2 at the PBEsol level of DFT.

Space group: No. 71
E in eV per atom: -5.445

Cell: 3.631 3.805 6.051 Å, 108.33 107.46 90.00°
Fractional positions:
Cu: 0.500 0.000 0.000
Ir: 0.000 0.500 0.000
Se: 0.651 0.651 0.302
Se: 0.349 0.349 0.698

# 2
Computed, not measured: an optimized crystal structure of CaNd2BeO5 at the PBEsol level of DFT.

Space group: No. 33
E in eV per atom: -7.929

Cell: 6.427 7.153 9.376 Å, 90.00 90.00 90.00°
Fractional positions:
Ca: 0.579 0.979 0.677
Ca: 0.421 0.479 0.323
Ca: 0.079 0.479 0.823
Ca: 0.921 0.979 0.177
Nd: 0.098 0.746 0.524
Nd: 0.402 0.746 0.024
Nd: 0.902 0.246 0.476
Nd: 0.598 0.246 0.976
Nd: 0.927 0.527 0.171
Nd: 0.073 0.027 0.829
Nd: 0.427 0.027 0.329
Nd: 0.573 0.527 0.671
Be: 0.693 0.748 0.395
Be: 0.807 0.748 0.895
Be: 0.307 0.248 0.605
Be: 0.193 0.248 0.105
O: 0.168 0.749 0.273
O: 0.332 0.749 0.773
O: 0.832 0.249 0.727
O: 0.668 0.249 0.227
O: 0.021 0.751 0.988
O: 0.479 0.751 0.488
O: 0.979 0.251 0.012
O: 0.521 0.251 0.512
O: 0.641 0.750 0.221
O: 0.859 0.750 0.721
O: 0.359 0.250 0.779
O: 0.141 0.250 0.279
O: 0.312 0.057 0.071
O: 0.194 0.443 0.574
O: 0.688 0.557 0.929
O: 0.806 0.943 0.426
O: 0.694 0.943 0.926
O: 0.812 0.557 0.429
O: 0.306 0.443 0.074
O: 0.188 0.057 0.571

# 3
Computed, not measured: an optimized crystal structure of Cu2Au3 at the PBEsol level of DFT.

Energy of formation from the pure elements in meV per atom: 68
Space group: No. 164

Cell: 4.219 4.219 5.177 Å, 90.00 90.00 120.00°
Fractional positions:
Au: 0.000 0.000 0.000
Au: 0.333 0.667 0.349
Au: 0.667 0.333 0.651
Cu: 0.333 0.667 0.843
Cu: 0.667 0.333 0.157

# 4
Computed, not measured: an optimized crystal structure of CaZn2In at the PBEsol level of DFT.

Energy of formation from the pure elements in meV per atom: -238
Space group: No. 160

Cell: 4.330 4.330 6.031 Å, 68.96 68.96 60.00°
Fractional positions:
Zn: 0.963 0.963 0.110
Zn: 0.302 0.302 0.095
Ca: 0.510 0.510 0.469
In: 0.717 0.717 0.848

# 5
Computed, not measured: an optimized crystal structure of Ta2ReMo at the PBEsol level of DFT.

Energy of formation from the pure elements in meV per atom: -270
Space group: No. 44

Cell: 3.174 4.466 5.309 Å, 114.87 107.39 90.00°
Fractional positions:
Re: 0.247 0.747 0.494
Mo: 0.503 0.503 0.007
Ta: 0.996 0.996 0.991
Ta: 0.754 0.254 0.508

# 6
Computed, not measured: an optimized crystal structure of Na2Mn2S at the PBEsol level of DFT.

Space group: No. 123
E in eV per atom: -3.923

Cell: 4.922 4.922 4.959 Å, 90.00 90.00 90.00°
Fractional positions:
Na: 0.000 0.000 0.000
Na: 0.000 0.000 0.500
S: 0.500 0.500 0.500
Mn: 0.000 0.500 0.000
Mn: 0.500 0.000 0.000

# 7
Computed, not measured: an optimized crystal structure of YTa3Ga at the PBEsol level of DFT.

Energy of formation from the pure elements in meV per atom: 2346
Space group: No. 221

Cell: 4.843 4.843 4.843 Å, 90.00 90.00 90.00°
Fractional positions:
Y: 0.000 0.000 0.000
Ga: 0.500 0.500 0.500
Ta: 0.000 0.500 0.000
Ta: 0.000 0.000 0.500
Ta: 0.500 0.000 0.000

# 8
Computed, not measured: an optimized crystal structure of SrAl2W at the PBEsol level of DFT.

Energy of formation from the pure elements in meV per atom: 547
Space group: No. 65

Cell: 2.858 5.232 5.232 Å, 105.99 90.00 90.00°
Fractional positions:
Sr: 0.500 0.500 0.500
Al: 0.000 0.000 0.500
Al: 0.000 0.500 0.000
W: 0.500 0.000 0.000

| no. | magnetization (μB per formula unit) | DOS(E_F) (states/eV/cell) |
| --- | --- | --- |
| 1 | 0.000 | 2.54 |
| 2 | 0.000 | 0.00 |
| 3 | 0.000 | 1.70 |
| 4 | 0.000 | 1.42 |
| 5 | 0.000 | 1.77 |
| 6 | 8.895 | 4.68 |
| 7 | 0.000 | 4.20 |
| 8 | 0.000 | 2.98 |